[1]
Here is a relaxed Er2Tl3HgTe6 crystal from Alexandria via LeMat-Bulk. Energies are from PBE.

E   -3.631 eV per atom
Formation energy from raw total energies   -0.68 eV per atom
SG   C2/m, No. 12

```
12
Lattice="7.734 -0.018 0.006 -3.880 6.690 0.006 -1.279 -2.215 7.870" Properties=species:S:1:pos:R:3 pbc="T T T"
Er -0.011 4.455 0.006
Er 3.864 2.217 0.006
Te 2.617 -0.008 1.715
Te -0.042 4.465 6.167
Te 3.889 2.195 6.167
Te -1.315 2.262 1.715
Te 2.557 4.428 1.722
Te 0.017 0.030 6.161
Tl 5.116 0.017 3.941
Tl -2.542 4.440 3.941
Tl 1.287 2.229 3.941
Hg 0.000 0.000 0.000
```

[2]
Here is a relaxed Er3Tl4HgTe8 crystal from Alexandria via LeMat-Bulk. Energies are from PBE.

E   -3.812 eV per atom
Formation energy from raw total energies   -0.77 eV per atom
SG   R-3m, No. 166

```
16
Lattice="8.908 0.000 0.000 0.000 9.445 0.367 -4.454 -4.448 6.305" Properties=species:S:1:pos:R:3 pbc="T T T"
Tl 2.227 -2.224 3.153
Tl 0.000 0.000 0.000
Tl -2.227 -2.224 3.153
Tl 4.454 0.000 0.000
Te 4.454 4.632 3.267
Te 4.454 0.377 3.358
Te 6.644 2.564 0.261
Te 0.000 4.619 3.314
Te 0.000 0.365 3.405
Te 2.264 2.564 0.261
Te 2.190 2.432 6.411
Te -2.190 2.432 6.411
Er 4.454 4.722 0.184
Er 2.227 2.498 3.336
Er -2.227 2.498 3.336
Hg 0.000 4.722 0.184
```

[3]
Here is a relaxed ErTlHgTe3 crystal from Alexandria via LeMat-Bulk. Energies are from PBE.

E   -3.471 eV per atom
Formation energy from raw total energies   -0.70 eV per atom
SG   P2_1/m, No. 11

```
12
Lattice="4.472 0.000 0.000 0.000 9.323 -0.259 0.000 -2.727 10.142" Properties=species:S:1:pos:R:3 pbc="T T T"
Tl 3.354 5.252 7.572
Tl 1.118 1.344 2.312
Te 1.118 -1.462 8.912
Te 1.118 5.768 4.487
Te 3.354 8.058 0.972
Te 3.354 3.812 1.492
Te 1.118 2.784 8.392
Te 3.354 0.828 5.397
Er 3.354 0.688 8.621
Er 1.118 5.908 1.263
Hg 1.118 -0.838 6.157
Hg 3.354 7.434 3.727
```

[4]
Here is a relaxed Er3UHg3Te8 crystal from Alexandria via LeMat-Bulk. Energies are from PBE.

E   -4.154 eV per atom
Formation energy from raw total energies   -0.75 eV per atom
SG   C2/m, No. 12

```
15
Lattice="-7.068 0.678 4.879 4.749 -7.183 0.268 3.764 7.799 4.349" Properties=species:S:1:pos:R:3 pbc="T T T"
Te 3.237 2.361 4.348
Te -1.792 -1.067 5.147
Te -0.279 2.645 6.822
Te 5.675 -1.326 4.486
Te 1.724 -1.352 2.673
Te 2.046 -0.978 6.991
Te -4.230 2.619 5.010
Te -0.601 2.271 2.505
Er 0.722 0.647 4.748
Er -1.652 4.238 4.614
Er 4.257 0.308 2.308
U 1.882 3.899 2.174
Hg -1.160 -3.253 2.573
Hg 2.374 -3.592 0.134
Hg 0.000 0.000 0.000
```